Entry 1:
Density functional theory data (GGA-PBEsol) for an optimized crystal structure of Ba3AgW.

Computed properties:
Calculated formation energy (eV/atom): 0.950
N(E_F) (states/eV/atom): 0.85

Structure (CIF):
```
data_Ba3AgW
_chemical_formula_sum 'Ba3 Ag1 W1'
_cell_length_a 5.864
_cell_length_b 5.864
_cell_length_c 5.864
_cell_angle_alpha 90.00
_cell_angle_beta 90.00
_cell_angle_gamma 90.00
_space_group_name_H-M_alt 'P m -3 m'
_space_group_IT_number 221
_space_group_name_Hall '-P 4 2 3'
loop_
_atom_site_label
_atom_site_type_symbol
_atom_site_fract_x
_atom_site_fract_y
_atom_site_fract_z
_atom_site_occupancy
Ba1 Ba 0.000 0.000 0.500 1
Ag1 Ag 0.500 0.500 0.500 1
W1 W 0.000 0.000 0.000 1
```

***

Entry 2:
Density functional theory data (GGA-PBEsol) for an optimized crystal structure of Zr2CdRu.

Computed properties:
Calculated formation energy (eV/atom): -0.126
N(E_F) (states/eV/atom): 0.52

Structure (CIF):
```
data_Zr2CdRu
_chemical_formula_sum 'Zr6 Cd3 Ru3'
_cell_length_a 3.2416
_cell_length_b 3.2416
_cell_length_c 26.0972
_cell_angle_alpha 90.00
_cell_angle_beta 90.00
_cell_angle_gamma 120.00
_space_group_name_H-M_alt 'R -3 m'
_space_group_IT_number 166
_space_group_name_Hall '-R 3 2"'
loop_
_atom_site_label
_atom_site_type_symbol
_atom_site_fract_x
_atom_site_fract_y
_atom_site_fract_z
_atom_site_occupancy
Zr1 Zr 0.0000 0.0000 0.2385 1
Cd1 Cd 0.0000 0.0000 0.0000 1
Ru1 Ru 0.0000 0.0000 0.5000 1
```

***

Entry 3:
Density functional theory data (GGA-PBEsol) for an optimized crystal structure of YAs2Pt.

Computed properties:
Calculated formation energy (eV/atom): -0.477
N(E_F) (states/eV/atom): 0.50

Structure (CIF):
```
data_YAs2Pt
_chemical_formula_sum 'Y4 As8 Pt4'
_cell_length_a 6.738
_cell_length_b 6.738
_cell_length_c 6.738
_cell_angle_alpha 90.00
_cell_angle_beta 90.00
_cell_angle_gamma 90.00
_space_group_name_H-M_alt 'F -4 3 m'
_space_group_IT_number 216
_space_group_name_Hall 'F -4 2 3'
loop_
_atom_site_label
_atom_site_type_symbol
_atom_site_fract_x
_atom_site_fract_y
_atom_site_fract_z
_atom_site_occupancy
Y1 Y 0.000 0.000 0.000 1
As1 As 0.000 0.000 0.500 1
As2 As 0.250 0.250 0.250 1
Pt1 Pt 0.250 0.250 0.750 1
```

***

Entry 4:
Density functional theory data (GGA-PBEsol) for an optimized crystal structure of ZrPaTc2.

Computed properties:
Calculated formation energy (eV/atom): -0.283
N(E_F) (states/eV/atom): 0.85

Structure (CIF):
```
data_ZrPaTc2
_chemical_formula_sum 'Zr4 Pa4 Tc8'
_cell_length_a 6.638
_cell_length_b 6.638
_cell_length_c 6.638
_cell_angle_alpha 90.00
_cell_angle_beta 90.00
_cell_angle_gamma 90.00
_space_group_name_H-M_alt 'F m -3 m'
_space_group_IT_number 225
_space_group_name_Hall '-F 4 2 3'
loop_
_atom_site_label
_atom_site_type_symbol
_atom_site_fract_x
_atom_site_fract_y
_atom_site_fract_z
_atom_site_occupancy
Zr1 Zr 0.000 0.000 0.000 1
Pa1 Pa 0.000 0.000 0.500 1
Tc1 Tc 0.250 0.250 0.250 1
```

***

Entry 5:
Density functional theory data (GGA-PBEsol) for an optimized crystal structure of TiMo3Au.

Computed properties:
Calculated formation energy (eV/atom): 2.240
Energy above the most stable polymorph in this dataset (meV/atom): 794.4
N(E_F) (states/eV/atom): 1.89

Structure (CIF):
```
data_TiMo3Au
_chemical_formula_sum 'Ti1 Mo3 Au1'
_cell_length_a 4.748
_cell_length_b 4.748
_cell_length_c 4.748
_cell_angle_alpha 90.00
_cell_angle_beta 90.00
_cell_angle_gamma 90.00
_space_group_name_H-M_alt 'P m -3 m'
_space_group_IT_number 221
_space_group_name_Hall '-P 4 2 3'
loop_
_atom_site_label
_atom_site_type_symbol
_atom_site_fract_x
_atom_site_fract_y
_atom_site_fract_z
_atom_site_occupancy
Ti1 Ti 0.000 0.000 0.000 1
Mo1 Mo 0.000 0.500 0.500 1
Au1 Au 0.500 0.500 0.500 1
```

***

Entry 6:
Density functional theory data (GGA-PBEsol) for an optimized crystal structure of CrCo2Ir.

Computed properties:
Calculated formation energy (eV/atom): 0.017
Energy above the most stable polymorph in this dataset (meV/atom): 96.4
N(E_F) (states/eV/atom): 1.39

Structure (CIF):
```
data_CrCo2Ir
_chemical_formula_sum 'Cr2 Co4 Ir2'
_cell_length_a 5.000
_cell_length_b 7.135
_cell_length_c 2.546
_cell_angle_alpha 90.00
_cell_angle_beta 90.00
_cell_angle_gamma 90.00
_space_group_name_H-M_alt 'C m m m'
_space_group_IT_number 65
_space_group_name_Hall '-C 2 2'
loop_
_atom_site_label
_atom_site_type_symbol
_atom_site_fract_x
_atom_site_fract_y
_atom_site_fract_z
_atom_site_occupancy
Cr1 Cr 0.000 0.000 0.000 1
Co1 Co 0.250 0.250 0.500 1
Ir1 Ir 0.000 0.500 0.000 1
```